Entry 1:
The following is a DFT calculation (PBE-GGA) of a geometry-optimized NdTe5Pb4 structure.

Properties
formation energy from raw total energies	-586.4	meV per atom
calculated volume	34.98	Å³/atom
calculated total energy	-4.12	eV per atom
D(E_F)	7.190	states/eV per cell

The structure in CIF format:
```
data_NdTe5Pb4
_chemical_formula_sum 'Nd2 Te10 Pb8'
_space_group_name_H-M_alt 'I 4/m m m'
_space_group_IT_number 139
_space_group_name_Hall '-I 4 2'
_cell_length_a 4.6226
_cell_length_b 4.6226
_cell_length_c 32.7365
_cell_angle_alpha 90.00
_cell_angle_beta 90.00
_cell_angle_gamma 90.00
loop_
_atom_site_label
_atom_site_type_symbol
_atom_site_fract_x
_atom_site_fract_y
_atom_site_fract_z
_atom_site_occupancy
Nd1 Nd 0.0000 0.0000 0.0000 1
Te1 Te 0.0000 0.0000 0.0979 1
Te2 Te 0.0000 0.0000 0.3000 1
Te3 Te 0.0000 0.0000 0.5000 1
Pb1 Pb 0.0000 0.0000 0.2011 1
Pb2 Pb 0.0000 0.0000 0.3984 1
```

Entry 2:
The following is a DFT calculation (PBE-GGA) of a geometry-optimized PmAlSi2 structure.

Properties
formation energy from raw total energies	-270.7	meV per atom
calculated volume	19.34	Å³/atom
calculated total energy	-5.11	eV per atom
D(E_F)	2.396	states/eV per cell
ΔE to the lowest computed polymorph	0.133	eV per atom

The structure in CIF format:
```
data_PmAlSi2
_chemical_formula_sum 'Pm1 Al1 Si2'
_space_group_name_H-M_alt 'P 4/m m m'
_space_group_IT_number 123
_space_group_name_Hall '-P 4 2'
_cell_length_a 3.5112
_cell_length_b 3.5112
_cell_length_c 6.2758
_cell_angle_alpha 90.00
_cell_angle_beta 90.00
_cell_angle_gamma 90.00
loop_
_atom_site_label
_atom_site_type_symbol
_atom_site_fract_x
_atom_site_fract_y
_atom_site_fract_z
_atom_site_occupancy
Pm1 Pm 0.0000 0.0000 0.0000 1
Al1 Al 0.0000 0.0000 0.5000 1
Si1 Si 0.5000 0.5000 0.3098 1
```

Entry 3:
The following is a DFT calculation (PBE-GGA) of a geometry-optimized TaCoW2 structure.

Properties
calculated volume	15.44	Å³/atom
calculated total energy	-11.18	eV per atom
D(E_F)	3.421	states/eV per cell
ΔE to the lowest computed polymorph	0.009	eV per atom
formation enthalpy at 0 K	0.035	eV/atom

The structure in CIF format:
```
data_TaCoW2
_chemical_formula_sum 'Ta1 Co1 W2'
_space_group_name_H-M_alt 'P 4 m m'
_space_group_IT_number 99
_cell_length_a 3.1807
_cell_length_b 3.1807
_cell_length_c 6.1045
_cell_angle_alpha 90.00
_cell_angle_beta 90.00
_cell_angle_gamma 90.00
loop_
_space_group_symop_operation_xyz
'x,y,z'
'-y,x,z'
'-x,-y,z'
'y,-x,z'
'-x,y,z'
'y,x,z'
'x,-y,z'
'-y,-x,z'
loop_
_atom_site_label
_atom_site_type_symbol
_atom_site_fract_x
_atom_site_fract_y
_atom_site_fract_z
_atom_site_occupancy
Ta1 Ta 0.0000 0.0000 0.0000 1
Co1 Co 0.5000 0.5000 0.7616 1
W1 W 0.0000 0.0000 0.5169 1
W2 W 0.5000 0.5000 0.2704 1
```

Entry 4:
The following is a DFT calculation (PBE-GGA) of a geometry-optimized LiDyPdRh structure.

Properties
calculated volume	17.03	Å³/atom
calculated total energy	-5.41	eV per atom
D(E_F)	1.783	states/eV per cell
ΔE to the lowest computed polymorph	0.000	eV per atom
formation enthalpy at 0 K	-0.644	eV/atom

The structure in CIF format:
```
data_LiDyPdRh
_chemical_formula_sum 'Li1 Dy1 Pd1 Rh1'
_space_group_name_H-M_alt 'P m m m'
_space_group_IT_number 47
_cell_length_a 3.7619
_cell_length_b 4.1209
_cell_length_c 4.3936
_cell_angle_alpha 90.00
_cell_angle_beta 90.00
_cell_angle_gamma 90.00
loop_
_space_group_symop_operation_xyz
'x,y,z'
'-x,-y,-z'
'-x,-y,z'
'x,y,-z'
'x,-y,-z'
'-x,y,z'
'-x,y,-z'
'x,-y,z'
loop_
_atom_site_label
_atom_site_type_symbol
_atom_site_fract_x
_atom_site_fract_y
_atom_site_fract_z
_atom_site_occupancy
Li1 Li 0.0000 0.0000 0.0000 1
Dy1 Dy 0.0000 0.5000 0.5000 1
Pd1 Pd 0.5000 0.5000 0.0000 1
Rh1 Rh 0.5000 0.0000 0.5000 1
```

Entry 5:
The following is a DFT calculation (PBE-GGA) of a geometry-optimized La2TeP2 structure.

Properties
formation energy from raw total energies	-1147.0	meV per atom
calculated volume	26.95	Å³/atom
calculated total energy	-5.91	eV per atom
D(E_F)	3.052	states/eV per cell
ΔE to the lowest computed polymorph	0.000	eV per atom

The structure in CIF format:
```
data_La2TeP2
_chemical_formula_sum 'La4 Te2 P4'
_space_group_name_H-M_alt 'I 4/m m m'
_space_group_IT_number 139
_space_group_name_Hall '-I 4 2'
_cell_length_a 4.1030
_cell_length_b 4.1030
_cell_length_c 16.0068
_cell_angle_alpha 90.00
_cell_angle_beta 90.00
_cell_angle_gamma 90.00
loop_
_atom_site_label
_atom_site_type_symbol
_atom_site_fract_x
_atom_site_fract_y
_atom_site_fract_z
_atom_site_occupancy
La1 La 0.0000 0.0000 0.1206 1
Te1 Te 0.0000 0.0000 0.5000 1
P1 P 0.0000 0.5000 0.2500 1
```

Entry 6:
The following is a DFT calculation (PBE-GGA) of a geometry-optimized Zn3AsF structure.

Properties
formation energy from raw total energies	-99.4	meV per atom
calculated volume	24.96	Å³/atom
calculated total energy	-2.17	eV per atom
D(E_F)	0.952	states/eV per cell
ΔE to the lowest computed polymorph	0.035	eV per atom

The structure in CIF format:
```
data_Zn3AsF
_chemical_formula_sum 'Zn3 As1 F1'
_space_group_name_H-M_alt 'P m -3 m'
_space_group_IT_number 221
_space_group_name_Hall '-P 4 2 3'
_cell_length_a 4.9975
_cell_length_b 4.9975
_cell_length_c 4.9975
_cell_angle_alpha 90.00
_cell_angle_beta 90.00
_cell_angle_gamma 90.00
loop_
_atom_site_label
_atom_site_type_symbol
_atom_site_fract_x
_atom_site_fract_y
_atom_site_fract_z
_atom_site_occupancy
Zn1 Zn 0.0000 0.0000 0.5000 1
As1 As 0.0000 0.0000 0.0000 1
F1 F 0.5000 0.5000 0.5000 1
```

Entry 7:
The following is a DFT calculation (PBE-GGA) of a geometry-optimized Ba3CrH structure.

Properties
calculated volume	33.41	Å³/atom
calculated total energy	-3.07	eV per atom
D(E_F)	8.076	states/eV per cell
ΔE to the lowest computed polymorph	0.000	eV per atom

The structure in CIF format:
```
data_Ba3CrH
_chemical_formula_sum 'Ba3 Cr1 H1'
_space_group_name_H-M_alt 'P m -3 m'
_space_group_IT_number 221
_space_group_name_Hall '-P 4 2 3'
_cell_length_a 5.5073
_cell_length_b 5.5073
_cell_length_c 5.5073
_cell_angle_alpha 90.00
_cell_angle_beta 90.00
_cell_angle_gamma 90.00
loop_
_atom_site_label
_atom_site_type_symbol
_atom_site_fract_x
_atom_site_fract_y
_atom_site_fract_z
_atom_site_occupancy
Ba1 Ba 0.0000 0.0000 0.5000 1
Cr1 Cr 0.5000 0.5000 0.5000 1
H1 H 0.0000 0.0000 0.0000 1
```

Entry 8:
The following is a DFT calculation (PBE-GGA) of a geometry-optimized TaTcAu2 structure.

Properties
calculated volume	17.21	Å³/atom
calculated total energy	-7.01	eV per atom
D(E_F)	14.382	states/eV per cell
ΔE to the lowest computed polymorph	0.223	eV per atom
formation enthalpy at 0 K	0.186	eV/atom

The structure in CIF format:
```
data_TaTcAu2
_chemical_formula_sum 'Ta3 Tc3 Au6'
_space_group_name_H-M_alt 'R 3 m'
_space_group_IT_number 160
_space_group_name_Hall 'R 3 -2"'
_cell_length_a 2.8765
_cell_length_b 2.8765
_cell_length_c 28.8185
_cell_angle_alpha 90.00
_cell_angle_beta 90.00
_cell_angle_gamma 120.00
loop_
_atom_site_label
_atom_site_type_symbol
_atom_site_fract_x
_atom_site_fract_y
_atom_site_fract_z
_atom_site_occupancy
Ta1 Ta 0.0000 0.0000 0.0000 1
Tc1 Tc 0.0000 0.0000 0.2511 1
Au1 Au 0.0000 0.0000 0.5034 1
Au2 Au 0.0000 0.0000 0.7498 1
```

Entry 9:
The following is a DFT calculation (PBE-GGA) of a geometry-optimized HoZn9Pd3 structure.

Properties
calculated volume	16.09	Å³/atom
calculated total energy	-2.81	eV per atom
D(E_F)	12.216	states/eV per cell
formation enthalpy at 0 K	-0.377	eV/atom

The structure in CIF format:
```
data_HoZn9Pd3
_chemical_formula_sum 'Ho2 Zn18 Pd6'
_space_group_name_H-M_alt 'C 1 2/m 1'
_space_group_IT_number 12
_cell_length_a 5.3225
_cell_length_b 12.6332
_cell_length_c 6.7121
_cell_angle_alpha 90.00
_cell_angle_beta 112.07
_cell_angle_gamma 90.00
loop_
_space_group_symop_operation_xyz
'x,y,z'
'-x,-y,-z'
'-x,y,-z'
'x,-y,z'
'x+1/2,y+1/2,z'
'-x+1/2,-y+1/2,-z'
'-x+1/2,y+1/2,-z'
'x+1/2,-y+1/2,z'
loop_
_atom_site_label
_atom_site_type_symbol
_atom_site_fract_x
_atom_site_fract_y
_atom_site_fract_z
_atom_site_occupancy
Ho1 Ho 0.0000 0.0000 0.0000 1
Zn1 Zn 0.0000 0.5000 0.5000 1
Zn2 Zn 0.1019 0.3922 0.2145 1
Zn3 Zn 0.1603 0.1759 0.3457 1
Pd1 Pd 0.0000 0.0000 0.5000 1
Pd2 Pd 0.2500 0.2500 0.0000 1
```

Entry 10:
The following is a DFT calculation (PBE-GGA) of a geometry-optimized LiAl6Fe5 structure.

Properties
calculated volume	12.26	Å³/atom
calculated total energy	-5.85	eV per atom
D(E_F)	23.105	states/eV per cell
formation enthalpy at 0 K	-0.293	eV/atom

The structure in CIF format:
```
data_LiAl6Fe5
_chemical_formula_sum 'Li2 Al12 Fe10'
_space_group_name_H-M_alt 'C m m m'
_space_group_IT_number 65
_space_group_name_Hall '-C 2 2'
_cell_length_a 4.1061
_cell_length_b 12.2864
_cell_length_c 5.8330
_cell_angle_alpha 90.00
_cell_angle_beta 90.00
_cell_angle_gamma 90.00
loop_
_atom_site_label
_atom_site_type_symbol
_atom_site_fract_x
_atom_site_fract_y
_atom_site_fract_z
_atom_site_occupancy
Li1 Li 0.0000 0.0000 0.0000 1
Al1 Al 0.0000 0.1685 0.2670 1
Al2 Al 0.0000 0.5000 0.2612 1
Fe1 Fe 0.0000 0.0000 0.5000 1
Fe2 Fe 0.0000 0.3256 0.0000 1
Fe3 Fe 0.0000 0.3363 0.5000 1
```

Entry 11:
The following is a DFT calculation (PBE-GGA) of a geometry-optimized Ba2TiF6 structure.

Properties
formation energy from raw total energies	-3391.6	meV per atom
calculated volume	20.33	Å³/atom
calculated total energy	-5.94	eV per atom
D(E_F)	5.617	states/eV per cell

The structure in CIF format:
```
data_Ba2TiF6
_chemical_formula_sum 'Ba4 Ti2 F12'
_space_group_name_H-M_alt 'P 42/m n m'
_space_group_IT_number 136
_space_group_name_Hall '-P 4n 2n'
_cell_length_a 5.5857
_cell_length_b 5.5857
_cell_length_c 11.7285
_cell_angle_alpha 90.00
_cell_angle_beta 90.00
_cell_angle_gamma 90.00
loop_
_atom_site_label
_atom_site_type_symbol
_atom_site_fract_x
_atom_site_fract_y
_atom_site_fract_z
_atom_site_occupancy
Ba1 Ba 0.0000 0.0000 0.1644 1
Ti1 Ti 0.0000 0.0000 0.5000 1
F1 F 0.1742 0.1742 0.3550 1
F2 F 0.2318 0.2318 0.0000 1
```

Entry 12:
The following is a DFT calculation (PBE-GGA) of a geometry-optimized Nd2CoP3Rh4 structure.

Properties
calculated volume	16.65	Å³/atom
calculated total energy	-7.17	eV per atom
D(E_F)	6.101	states/eV per cell
formation enthalpy at 0 K	-0.941	eV/atom

The structure in CIF format:
```
data_Nd2CoP3Rh4
_chemical_formula_sum 'Nd2 Co1 P3 Rh4'
_space_group_name_H-M_alt 'P -4 m 2'
_space_group_IT_number 115
_cell_length_a 4.1204
_cell_length_b 4.1204
_cell_length_c 9.8075
_cell_angle_alpha 90.00
_cell_angle_beta 90.00
_cell_angle_gamma 90.00
loop_
_space_group_symop_operation_xyz
'x,y,z'
'y,-x,-z'
'-x,-y,z'
'-y,x,-z'
'-x,y,z'
'-y,-x,-z'
'x,-y,z'
'y,x,-z'
loop_
_atom_site_label
_atom_site_type_symbol
_atom_site_fract_x
_atom_site_fract_y
_atom_site_fract_z
_atom_site_occupancy
Nd1 Nd 0.0000 0.5000 0.2444 1
Co1 Co 0.5000 0.5000 0.0000 1
P1 P 0.0000 0.0000 0.0000 1
P2 P 0.0000 0.5000 0.6368 1
Rh1 Rh 0.0000 0.0000 0.5000 1
Rh2 Rh 0.0000 0.5000 0.8752 1
Rh3 Rh 0.5000 0.5000 0.5000 1
```

Entry 13:
The following is a DFT calculation (PBE-GGA) of a geometry-optimized CdCoI4 structure.

Properties
formation energy from raw total energies	-129.1	meV per atom
calculated volume	53.95	Å³/atom
calculated total energy	-2.50	eV per atom
D(E_F)	12.188	states/eV per cell

The structure in CIF format:
```
data_CdCoI4
_chemical_formula_sum 'Cd2 Co2 I8'
_space_group_name_H-M_alt 'P 42/m m c'
_space_group_IT_number 131
_space_group_name_Hall '-P 4c 2'
_cell_length_a 8.0371
_cell_length_b 8.0371
_cell_length_c 10.0231
_cell_angle_alpha 90.00
_cell_angle_beta 90.00
_cell_angle_gamma 90.00
loop_
_atom_site_label
_atom_site_type_symbol
_atom_site_fract_x
_atom_site_fract_y
_atom_site_fract_z
_atom_site_occupancy
Cd1 Cd 0.0000 0.0000 0.0000 1
Co1 Co 0.0000 0.5000 0.0000 1
I1 I 0.2324 0.2729 0.0000 1
```